# 1
Material: ZrMnCu
Method: DFT, PBE
State: optimized geometry

Lattice parameters (Å, degrees): 5.2765 5.2765 5.2765 144.69 144.71 50.79
Closest atoms and distances in Å follow each position.
Fractional positions:
Zr (0.6682, 0.6682, 0.0000)  5 Mn 2.84-3.04, 5 Cu 2.87-3.00
Mn (0.3488, 0.3488, 0.0000)  4 Cu 2.60, 4 Zr 2.84
Cu (0.9830, 0.9830, 0.0000)  4 Mn 2.60, 4 Zr 2.87

Results
Energy relative to the lowest polymorph listed for this composition, meV/atom: 0
Calculated formation energy, eV per atom: 0.0290
DOS(E_F), states/eV/atom: 0.728

=====

# 2
Material: Mg2TlCdH
Method: DFT, PBE
State: optimized geometry

Lattice parameters (Å, degrees): 4.4074 4.4074 5.0404 90.00 90.00 90.00
Closest atoms and distances in Å follow each position.
Fractional positions:
Tl (0.0000, 0.0000, 0.5000)  2 H 2.52
Cd (0.5000, 0.5000, 0.5000)  4 Tl 3.12, 8 Mg 3.35
Mg (0.5000, 0.0000, 0.0000)  2 H 2.20
Mg (0.0000, 0.5000, 0.0000)  2 H 2.20
H (0.0000, 0.0000, 0.0000)  4 Mg 2.20

Results
Energy relative to the lowest polymorph listed for this composition, meV/atom: 5
DOS(E_F), states/eV/atom: 0.222